Entry 1:
Compound: SrSmTl
Source: the Alexandria database
Functional: PBE
Structure: relaxed

Values from the calculation:
calculated volume	108	Å³ per cell
crystal system	tetragonal
total magnetization	0.00	Bohr magnetons per cell
formation energy from the elements	-0.186	eV per atom

abc: 3.9397 3.9397 7.5121
angles: 105.20 105.20 90.00
Atoms (fractional coordinates):
Sr1 0.0188 0.0188 0.0377
Tl1 0.6797 0.6797 0.3593
Sm1 0.3015 0.3015 0.6030


Entry 2:
Compound: Li2MoAs
Source: the Alexandria database
Functional: PBE
Structure: relaxed

Values from the calculation:
calculated volume	57	Å³ per cell
crystal system	tetragonal
total magnetization	0.00	Bohr magnetons per cell
formation energy from the elements	-0.019	eV per atom

abc: 4.1750 3.7027 3.7027
angles: 90.00 90.00 90.00
Atoms (fractional coordinates):
As1 0.5000 0.0000 0.5000
Li1 0.0000 0.0000 0.0000
Li2 0.0000 0.5000 0.5000
Mo1 0.5000 0.5000 0.0000


Entry 3:
Compound: KErSc4Se8
Source: the Alexandria database
Functional: PBE
Structure: relaxed

Values from the calculation:
calculated volume	397	Å³ per cell
crystal system	trigonal
total magnetization	0.00	Bohr magnetons per cell
formation energy without anion corrections	-1.585	eV per atom

abc: 8.1561 8.1561 8.3485
angles: 60.76 60.76 60.00
Atoms (fractional coordinates):
K1 0.3670 0.3670 0.8990
Er1 0.0047 0.0047 0.9859
Sc1 0.6270 0.6270 0.1190
Sc2 0.0044 0.4838 0.5075
Sc3 0.4838 0.0044 0.5075
Sc4 0.0044 0.0044 0.5075
Se1 0.2421 0.7967 0.7192
Se2 0.7967 0.2421 0.7192
Se3 0.2421 0.2421 0.7192
Se4 0.2294 0.2294 0.3118
Se5 0.7538 0.2338 0.2587
Se6 0.2338 0.7538 0.2587
Se7 0.7538 0.7538 0.2587
Se8 0.7572 0.7572 0.7283


Entry 4:
Compound: TaTc3B
Source: the Alexandria database
Functional: PBE
Structure: relaxed

Values from the calculation:
calculated volume	71	Å³ per cell
crystal system	cubic
total magnetization	0.00	Bohr magnetons per cell
excess energy over the best structure of this formula in the dataset	0.0	kJ/mol of atoms
formation energy from the elements	-0.112	eV per atom

abc: 4.1316 4.1316 4.1316
angles: 90.00 90.00 90.00
Atoms (fractional coordinates):
B1 0.0000 0.0000 0.0000
Tc1 0.0000 0.5000 0.0000
Tc2 0.0000 0.0000 0.5000
Tc3 0.5000 0.0000 0.0000
Ta1 0.5000 0.5000 0.5000


Entry 5:
Compound: Li2CuSe2
Source: the Alexandria database
Functional: PBE
Structure: relaxed

Values from the calculation:
calculated volume	87	Å³ per cell
crystal system	tetragonal
total magnetization	0.00	Bohr magnetons per cell
formation energy without anion corrections	-0.287	eV per atom

abc: 3.5863 3.5863 7.2134
angles: 75.61 75.61 90.00
Atoms (fractional coordinates):
Cu1 0.0000 0.0000 0.0000
Se1 0.3825 0.3825 0.2350
Se2 0.6175 0.6175 0.7650
Li1 0.7500 0.2500 0.5000
Li2 0.2500 0.7500 0.5000


Entry 6:
Compound: ThTeS2
Source: the Alexandria database
Functional: PBE
Structure: relaxed

Values from the calculation:
calculated volume	126	Å³ per cell
crystal system	trigonal
total magnetization	0.00	Bohr magnetons per cell
excess energy over the best structure of this formula in the dataset	125.4	kJ/mol of atoms
formation energy without anion corrections	0.132	eV per atom

abc: 4.2698 4.2698 8.3579
angles: 75.20 75.20 60.00
Atoms (fractional coordinates):
S1 0.1122 0.1122 0.6633
S2 0.8878 0.8878 0.3367
Te1 0.5000 0.5000 0.5000
Th1 0.0000 0.0000 0.0000


Entry 7:
Compound: CeTm6Th2
Source: the Alexandria database
Functional: PBE
Structure: relaxed

Values from the calculation:
calculated volume	559	Å³ per cell
crystal system	monoclinic
total magnetization	2.49	Bohr magnetons per cell
excess energy over the best structure of this formula in the dataset	0.0	kJ/mol of atoms
formation energy from the elements	0.128	eV per atom

abc: 3.4887 12.8128 12.8128
angles: 83.29 97.95 97.95
Site moments in Bohr magnetons follow the coordinates.
Atoms (fractional coordinates):
Ce1 0.2500 0.2501 0.7499  0.80
Ce2 0.7500 0.7499 0.2501  0.80
Tm1 0.8318 0.5039 0.6709  0.04
Tm2 0.6682 0.3291 0.4961  0.04
Tm3 0.1682 0.4961 0.3291  0.04
Tm4 0.3318 0.6709 0.5039  0.04
Tm5 0.4168 0.9165 0.4165  0.04
Tm6 0.0832 0.5835 0.0835  0.04
Tm7 0.5832 0.0835 0.5835  0.04
Tm8 0.9168 0.4165 0.9165  0.04
Tm9 0.1635 0.8291 0.9961  0.04
Tm10 0.3365 0.0039 0.1709  0.04
Tm11 0.8365 0.1709 0.0039  0.04
Tm12 0.6635 0.9961 0.8291  0.04
Th1 0.4989 0.6605 0.8396  0.00
Th2 0.0011 0.1604 0.3395  0.00
Th3 0.5011 0.3395 0.1604  0.00
Th4 0.9989 0.8396 0.6605  0.00


Entry 8:
Compound: PmSiIr2
Source: the Alexandria database
Functional: PBE
Structure: relaxed

Values from the calculation:
calculated volume	153	Å³ per cell
crystal system	tetragonal
total magnetization	0.00	Bohr magnetons per cell
excess energy over the best structure of this formula in the dataset	0.0	kJ/mol of atoms
formation energy without anion corrections	-0.746	eV per atom

abc: 4.0264 4.0264 9.4491
angles: 90.00 90.00 90.00
Atoms (fractional coordinates):
Pm1 0.5000 0.0000 0.2067
Pm2 0.0000 0.5000 0.7933
Si1 0.5000 0.0000 0.6395
Si2 0.0000 0.5000 0.3605
Ir1 0.5000 0.0000 0.8839
Ir2 0.0000 0.5000 0.1161
Ir3 0.0000 0.0000 0.5000
Ir4 0.5000 0.5000 0.5000


Entry 9:
Compound: Dy14ErAl
Source: the Alexandria database
Functional: PBE
Structure: relaxed

Values from the calculation:
calculated volume	489	Å³ per cell
crystal system	orthorhombic
total magnetization	0.00	Bohr magnetons per cell
formation energy from the elements	0.003	eV per atom

abc: 6.8608 6.8608 10.7664
angles: 90.00 90.00 105.05
Atoms (fractional coordinates):
Dy1 0.3632 0.6368 0.5000
Dy2 0.8143 0.1857 0.5000
Dy3 0.8636 0.5479 0.0000
Dy4 0.8919 0.7071 0.5000
Dy5 0.4521 0.1364 0.0000
Dy6 0.2929 0.1081 0.5000
Dy7 0.6695 0.9192 0.7628
Dy8 0.6695 0.9192 0.2372
Dy9 0.0808 0.3305 0.7628
Dy10 0.0808 0.3305 0.2372
Dy11 0.1546 0.8454 0.7807
Dy12 0.1546 0.8454 0.2193
Dy13 0.5919 0.4081 0.7257
Dy14 0.5919 0.4081 0.2743
Er1 0.3880 0.6120 0.0000
Al1 0.9404 0.0596 0.0000


Entry 10:
Compound: TmTi2Ga
Source: the Alexandria database
Functional: PBE
Structure: relaxed

Values from the calculation:
calculated volume	81	Å³ per cell
crystal system	trigonal
total magnetization	1.30	Bohr magnetons per cell
formation energy from the elements	0.236	eV per atom

abc: 2.9959 2.9959 10.5071
angles: 81.80 81.80 60.00
Site moments in Bohr magnetons follow the coordinates.
Atoms (fractional coordinates):
Tm1 0.0000 0.0000 0.0000  0.12
Ga1 0.5000 0.5000 0.5000  0.02
Ti1 0.0962 0.0962 0.7114  0.45
Ti2 0.9038 0.9038 0.2886  0.45


Entry 11:
Compound: U2ReRh
Source: the Alexandria database
Functional: PBE
Structure: relaxed

Values from the calculation:
calculated volume	78	Å³ per cell
crystal system	tetragonal
total magnetization	3.44	Bohr magnetons per cell
formation energy from the elements	-0.059	eV per atom

abc: 3.2998 3.2998 7.1603
angles: 90.00 90.00 90.00
Site moments in Bohr magnetons follow the coordinates.
Atoms (fractional coordinates):
Re1 0.5000 0.5000 0.0000  -0.27
U1 0.0000 0.0000 0.7519  1.78
U2 0.0000 0.0000 0.2481  1.78
Rh1 0.5000 0.5000 0.5000  -0.22


Entry 12:
Compound: LiCu
Source: the Alexandria database
Functional: PBE
Structure: relaxed

Values from the calculation:
calculated volume	194	Å³ per cell
crystal system	hexagonal
total magnetization	0.00	Bohr magnetons per cell
formation energy from the elements	0.019	eV per atom

abc: 7.5418 7.5418 3.9323
angles: 90.00 90.00 120.00
Atoms (fractional coordinates):
Li1 0.1820 0.3640 0.2500
Li2 0.8180 0.1820 0.7500
Li3 0.6360 0.8180 0.2500
Li4 0.8180 0.6360 0.7500
Li5 0.1820 0.8180 0.2500
Li6 0.3640 0.1820 0.7500
Cu1 0.5579 0.1159 0.2500
Cu2 0.4421 0.5579 0.7500
Cu3 0.8841 0.4421 0.2500
Cu4 0.4421 0.8841 0.7500
Cu5 0.5579 0.4421 0.2500
Cu6 0.1159 0.5579 0.7500


Entry 13:
Compound: CuNi2Hg
Source: the Alexandria database
Functional: PBE
Structure: relaxed

Values from the calculation:
calculated volume	55	Å³ per cell
crystal system	orthorhombic
total magnetization	0.61	Bohr magnetons per cell
formation energy from the elements	0.181	eV per atom

abc: 2.9363 3.0379 6.1367
angles: 90.00 90.00 90.00
Site moments in Bohr magnetons follow the coordinates.
Atoms (fractional coordinates):
Cu1 0.0000 0.0000 0.4585  0.01
Hg1 0.5000 0.5000 0.7562  -0.01
Ni1 0.0000 0.0000 0.0422  0.30
Ni2 0.5000 0.5000 0.2431  0.35


Entry 14:
Compound: MgBr
Source: the Alexandria database
Functional: PBE
Structure: relaxed

Values from the calculation:
calculated volume	324	Å³ per cell
crystal system	orthorhombic
total magnetization	0.00	Bohr magnetons per cell
formation energy without anion corrections	-0.860	eV per atom

abc: 12.7283 3.9020 6.5315
angles: 90.00 90.00 90.00
Atoms (fractional coordinates):
Mg1 0.8800 0.2578 0.6085
Mg2 0.6200 0.7422 0.1085
Mg3 0.1200 0.2578 0.6085
Mg4 0.3800 0.7422 0.1085
Mg5 0.0000 0.7615 0.2954
Mg6 0.5000 0.2385 0.7954
Br1 0.7416 0.2441 0.2555
Br2 0.7584 0.7559 0.7555
Br3 0.2584 0.2441 0.2555
Br4 0.2416 0.7559 0.7555
Br5 0.0000 0.2610 0.9786
Br6 0.5000 0.7390 0.4786


Entry 15:
Compound: KTlS
Source: the Alexandria database
Functional: PBE
Structure: relaxed

Values from the calculation:
calculated volume	102	Å³ per cell
crystal system	cubic
total magnetization	0.00	Bohr magnetons per cell
excess energy over the best structure of this formula in the dataset	7.5	kJ/mol of atoms
formation energy without anion corrections	-0.660	eV per atom

abc: 5.2520 5.2520 5.2520
angles: 60.00 60.00 60.00
Atoms (fractional coordinates):
S1 0.2500 0.2500 0.2500
Tl1 0.0000 0.0000 0.0000
K1 0.5000 0.5000 0.5000


Entry 16:
Compound: ZrBr3
Source: the Alexandria database
Functional: PBE
Structure: relaxed

Values from the calculation:
calculated volume	153	Å³ per cell
crystal system	cubic
total magnetization	0.34	Bohr magnetons per cell
formation energy without anion corrections	-1.150	eV per atom

abc: 5.3491 5.3491 5.3491
angles: 90.00 90.00 90.00
Site moments in Bohr magnetons follow the coordinates.
Atoms (fractional coordinates):
Br1 0.5000 0.0000 0.0000  0.00
Br2 0.0000 0.5000 0.0000  0.00
Br3 0.0000 0.0000 0.5000  0.00
Zr1 0.0000 0.0000 0.0000  0.24


Entry 17:
Compound: DyAlAg2Se4
Source: the Alexandria database
Functional: PBE
Structure: relaxed

Values from the calculation:
calculated volume	365	Å³ per cell
crystal system	orthorhombic
total magnetization	0.00	Bohr magnetons per cell
formation energy without anion corrections	-0.788	eV per atom

abc: 8.0098 8.0098 8.5158
angles: 122.12 122.12 88.88
Atoms (fractional coordinates):
Dy1 0.0000 0.5000 0.0000
Dy2 0.0000 0.5000 0.5000
Al1 0.5000 0.5000 0.5000
Al2 0.0000 0.0000 0.0000
Ag1 0.5000 0.0000 0.0000
Ag2 0.5000 0.0000 0.5000
Ag3 0.0000 0.0000 0.5000
Ag4 0.5000 0.5000 0.0000
Se1 0.2573 0.7444 0.0009
Se2 0.7556 0.2427 0.4991
Se3 0.2444 0.7574 0.5009
Se4 0.7426 0.2557 0.9991
Se5 0.7470 0.7530 0.9540
Se6 0.7470 0.7530 0.5460
Se7 0.2530 0.2470 0.4540
Se8 0.2530 0.2470 0.0460


Entry 18:
Compound: KAcHg6
Source: the Alexandria database
Functional: PBE
Structure: relaxed

Values from the calculation:
calculated volume	232	Å³ per cell
crystal system	orthorhombic
total magnetization	0.00	Bohr magnetons per cell
excess energy over the best structure of this formula in the dataset	0.0	kJ/mol of atoms
formation energy from the elements	-0.299	eV per atom

abc: 5.3698 7.0631 7.0631
angles: 119.91 90.00 90.00
Atoms (fractional coordinates):
K1 0.5000 0.4160 0.5840
Ac1 0.0000 0.0840 0.9160
Hg1 0.0000 0.0567 0.4027
Hg2 0.0000 0.5973 0.9433
Hg3 0.0000 0.5959 0.4041
Hg4 0.5000 0.4336 0.0926
Hg5 0.5000 0.9074 0.5664
Hg6 0.5000 0.9090 0.0910


Entry 19:
Compound: GdHoInPd
Source: the Alexandria database
Functional: PBE
Structure: relaxed

Values from the calculation:
calculated volume	98	Å³ per cell
crystal system	cubic
total magnetization	7.19	Bohr magnetons per cell
formation energy from the elements	-0.596	eV per atom

abc: 5.1755 5.1755 5.1755
angles: 60.00 60.00 60.00
Site moments in Bohr magnetons follow the coordinates.
Atoms (fractional coordinates):
Gd1 0.5000 0.5000 0.5000  7.01
Ho1 0.0000 0.0000 0.0000  0.01
Pd1 0.7500 0.7500 0.7500  0.02
In1 0.2500 0.2500 0.2500  0.01


Entry 20:
Compound: Zn2NiPb
Source: the Alexandria database
Functional: PBE
Structure: relaxed

Values from the calculation:
calculated volume	72	Å³ per cell
crystal system	orthorhombic
total magnetization	0.00	Bohr magnetons per cell
formation energy from the elements	0.097	eV per atom

abc: 3.2426 3.2538 6.8113
angles: 90.00 90.00 90.00
Atoms (fractional coordinates):
Ni1 0.0000 0.0000 0.4353
Pb1 0.5000 0.5000 0.7183
Zn1 0.0000 0.0000 0.0645
Zn2 0.5000 0.5000 0.2819